(1)
Ho3Er4Mg2 | Alexandria via LeMat-Bulk | GGA-PBE | optimized geometry; VASP energy = -3.90 eV per atom; space-group type = C2/m, No. 12; formation enthalpy at 0 K = 0.01 eV/atom
1.0
7.336 -2.438 0.000
7.336 2.438 0.000
-2.481 0.000 7.365
Ho Er Mg
3 4 2
direct
0.000 0.000 0.000
0.111 0.111 0.666
0.889 0.889 0.334
0.221 0.221 0.331
0.444 0.444 0.665
0.556 0.556 0.335
0.779 0.779 0.669
0.331 0.331 0.001
0.669 0.669 0.999

(2)
LiCu6Ni2 | Alexandria via LeMat-Bulk | GGA-PBE | optimized geometry; distance to the lowest polymorph of the same formula = 123 meV per atom; VASP energy = -4.12 eV per atom; space-group type = C2/m, No. 12; formation enthalpy at 0 K = 0.11 eV/atom
1.0
4.260 -3.489 0.000
4.260 3.489 0.000
-2.064 0.000 3.668
Li Cu Ni
1 6 2
direct
0.000 0.000 0.000
0.148 0.510 0.829
0.191 0.809 0.500
0.490 0.852 0.171
0.510 0.148 0.829
0.809 0.191 0.500
0.852 0.490 0.171
0.335 0.335 0.334
0.665 0.665 0.666

(3)
ZrTiV2 | Alexandria via LeMat-Bulk | GGA-PBE | optimized geometry; distance to the lowest polymorph of the same formula = 46 meV per atom; VASP energy = -8.48 eV per atom; space-group type = Fm-3m, No. 225; formation enthalpy at 0 K = 0.19 eV/atom
1.0
6.453 0.000 0.000
0.000 6.453 0.000
0.000 0.000 6.453
Zr Ti V
4 4 8
direct
0.000 0.000 0.000
0.000 0.500 0.500
0.500 0.000 0.500
0.500 0.500 0.000
0.000 0.000 0.500
0.000 0.500 0.000
0.500 0.000 0.000
0.500 0.500 0.500
0.250 0.250 0.250
0.250 0.250 0.750
0.250 0.750 0.250
0.250 0.750 0.750
0.750 0.250 0.250
0.750 0.250 0.750
0.750 0.750 0.250
0.750 0.750 0.750

(4)
Ac6NiIrRh2 | Alexandria via LeMat-Bulk | GGA-PBE | optimized geometry; VASP energy = -5.91 eV per atom; space-group type = P1, No. 1; formation enthalpy at 0 K = -0.51 eV/atom
1.0
7.455 0.000 0.000
-3.725 6.458 0.000
-3.723 -2.156 6.910
Ac Ni Ir Rh
6 1 1 2
direct
0.000 0.000 0.000
0.000 0.157 0.498
0.325 0.824 0.497
0.326 0.656 0.001
0.667 0.498 0.497
0.671 0.326 0.001
0.164 0.910 0.748
0.167 0.411 0.252
0.829 0.242 0.745
0.830 0.743 0.246

Number 1: D(E_F) 11.9 states/eV per cell, size of the total moment 0.0 μB/f.u.. Number 2: D(E_F) 4.2 states/eV per cell, size of the total moment 0.0 μB/f.u.. Number 3: D(E_F) 27.2 states/eV per cell, size of the total moment 2.8 μB/f.u.. Number 4: D(E_F) 5.3 states/eV per cell, size of the total moment 0.0 μB/f.u..